Record 1
DFT (GGA-PBE) results for an optimized crystal structure of Dy4Sb2H.

Cell: 6.324 6.374 8.938 Å, 90.00 108.01 90.00°
Fractional coordinates of all 14 atoms:
Dy1 0.146 0.750 0.942
Dy2 0.466 0.002 0.700
Dy3 0.466 0.498 0.700
Dy4 0.854 0.250 0.058
Dy5 0.534 0.502 0.300
Dy6 0.534 0.998 0.300
Dy7 0.932 0.250 0.654
Dy8 0.068 0.750 0.346
Sb1 0.840 0.750 0.602
Sb2 0.160 0.250 0.398
Sb3 0.304 0.250 0.971
Sb4 0.696 0.750 0.029
H1 0.289 0.750 0.200
H2 0.711 0.250 0.800

Values from the calculation:
excess energy over the best structure of this formula in the dataset: 13 kJ/mol of formula units
crystal system: monoclinic
total magnetization: 0.00 μB/cell
space-group type: P2_1/m (11)
Fermi-level density of states: 5.798 states/eV/f.u.


Record 2
DFT (GGA-PBE) results for an optimized crystal structure of Dy4Sb2H.

Cell: 4.464 4.464 9.007 Å, 104.35 104.35 90.00°
Fractional coordinates of all 7 atoms:
Sb1 0.362 0.362 0.724
Sb2 0.638 0.638 0.276
Dy1 0.823 0.823 0.645
Dy2 0.500 0.000 0.000
Dy3 0.177 0.177 0.355
Dy4 0.000 0.500 0.000
H1 0.000 0.000 0.000

Values from the calculation:
excess energy over the best structure of this formula in the dataset: 0 kJ/mol of formula units
crystal system: tetragonal
total magnetization: 0.00 μB/cell
space-group type: I4/mmm (139)
Fermi-level density of states: 5.918 states/eV/f.u.


Record 3
DFT (GGA-PBE) results for an optimized crystal structure of Dy2Sc2Sb2H.

Cell: 4.323 4.323 8.738 Å, 104.32 104.32 90.00°
Fractional coordinates of all 7 atoms:
Sc1 0.000 0.500 0.000
Sc2 0.500 0.000 0.000
H1 0.000 0.000 0.000
Sb1 0.369 0.369 0.738
Sb2 0.631 0.631 0.262
Dy1 0.822 0.822 0.645
Dy2 0.178 0.178 0.355

Values from the calculation:
final energy: -39.31 eV per formula unit
crystal system: tetragonal
total magnetization: 1.36 μB/cell
space-group type: I4/mmm (139)
Fermi-level density of states: 5.934 states/eV/f.u.


Record 4
DFT (GGA-PBE) results for an optimized crystal structure of DySc2H.

Cell: 3.266 3.266 9.095 Å, 79.66 79.66 60.00°
Fractional coordinates of all 4 atoms:
H1 0.500 0.500 0.500
Dy1 0.000 0.000 0.000
Sc1 0.121 0.121 0.636
Sc2 0.879 0.879 0.364

Values from the calculation:
excess energy over the best structure of this formula in the dataset: 0 kJ/mol of formula units
crystal system: trigonal
total magnetization: 0.00 μB/cell
space-group type: R-3m (166)
Fermi-level density of states: 6.292 states/eV/f.u.


Record 5
DFT (GGA-PBE) results for an optimized crystal structure of DySc2H.

Cell: 3.142 3.142 8.088 Å, 90.00 90.00 90.00°
Fractional coordinates of all 4 atoms:
Sc1 0.000 0.000 0.184
Sc2 0.000 0.000 0.816
H1 0.500 0.500 0.000
Dy1 0.500 0.500 0.500

Values from the calculation:
excess energy over the best structure of this formula in the dataset: 74 kJ/mol of formula units
crystal system: tetragonal
total magnetization: 0.00 μB/cell
space-group type: P4/mmm (123)
Fermi-level density of states: 5.282 states/eV/f.u.


Record 6
DFT (GGA-PBE) results for an optimized crystal structure of DyScH2.

Cell: 3.418 3.418 6.082 Å, 73.68 73.68 60.00°
Fractional coordinates of all 4 atoms:
H1 0.128 0.128 0.615
H2 0.872 0.872 0.385
Dy1 0.000 0.000 0.000
Sc1 0.500 0.500 0.500

Values from the calculation:
excess energy over the best structure of this formula in the dataset: 0 kJ/mol of formula units
crystal system: trigonal
total magnetization: 0.00 μB/cell
space-group type: R-3m (166)
Fermi-level density of states: 1.850 states/eV/f.u.


Record 7
DFT (GGA-PBE) results for an optimized crystal structure of DySc2H7.

Cell: 3.437 3.437 7.788 Å, 102.75 102.75 90.00°
Fractional coordinates of all 10 atoms:
H1 0.500 0.500 0.000
H2 0.250 0.750 0.500
H3 0.404 0.904 0.808
H4 0.596 0.096 0.192
H5 0.750 0.250 0.500
H6 0.096 0.596 0.192
H7 0.904 0.404 0.808
Sc1 0.329 0.329 0.658
Sc2 0.671 0.671 0.342
Dy1 0.000 0.000 0.000

Values from the calculation:
final energy: -47.11 eV per formula unit
crystal system: tetragonal
total magnetization: 0.00 μB/cell
space-group type: I4/mmm (139)
Fermi-level density of states: 2.570 states/eV/f.u.


Record 8
DFT (GGA-PBE) results for an optimized crystal structure of Dy3ScH8.

Cell: 5.075 5.075 5.075 Å, 90.00 90.00 90.00°
Fractional coordinates of all 12 atoms:
H1 0.760 0.760 0.240
H2 0.240 0.240 0.760
H3 0.240 0.760 0.240
H4 0.240 0.240 0.240
H5 0.240 0.760 0.760
H6 0.760 0.240 0.760
H7 0.760 0.760 0.760
H8 0.760 0.240 0.240
Dy1 0.500 0.500 0.000
Dy2 0.500 0.000 0.500
Dy3 0.000 0.500 0.500
Sc1 0.000 0.000 0.000

Values from the calculation:
final energy: -55.38 eV per formula unit
crystal system: cubic
total magnetization: 0.00 μB/cell
space-group type: Pm-3m (221)
Fermi-level density of states: 2.221 states/eV/f.u.


Record 9
DFT (GGA-PBE) results for an optimized crystal structure of Dy3ScH.

Cell: 4.897 4.897 4.897 Å, 90.00 90.00 90.00°
Fractional coordinates of all 5 atoms:
Dy1 0.500 0.000 0.000
Dy2 0.000 0.000 0.500
Dy3 0.000 0.500 0.000
H1 0.000 0.000 0.000
Sc1 0.500 0.500 0.500

Values from the calculation:
final energy: -24.20 eV per formula unit
crystal system: cubic
total magnetization: 0.00 μB/cell
space-group type: Pm-3m (221)
Fermi-level density of states: 6.349 states/eV/f.u.


Record 10
DFT (GGA-PBE) results for an optimized crystal structure of DyScH2.

Cell: 3.343 3.343 5.951 Å, 73.69 73.69 60.00°
Fractional coordinates of all 4 atoms:
H1 0.270 0.270 0.191
H2 0.069 0.069 0.794
Sc1 0.671 0.671 0.987
Dy1 0.491 0.491 0.528

Values from the calculation:
excess energy over the best structure of this formula in the dataset: 77 kJ/mol of formula units
crystal system: trigonal
total magnetization: 0.00 μB/cell
space-group type: R3m (160)
Fermi-level density of states: 1.477 states/eV/f.u.


Record 11
DFT (GGA-PBE) results for an optimized crystal structure of DySc3H8.

Cell: 4.861 4.861 4.861 Å, 90.00 90.00 90.00°
Fractional coordinates of all 12 atoms:
H1 0.740 0.740 0.740
H2 0.260 0.260 0.740
H3 0.260 0.740 0.740
H4 0.740 0.260 0.740
H5 0.740 0.260 0.260
H6 0.260 0.740 0.260
H7 0.740 0.740 0.260
H8 0.260 0.260 0.260
Sc1 0.000 0.500 0.500
Sc2 0.500 0.500 0.000
Sc3 0.500 0.000 0.500
Dy1 0.000 0.000 0.000

Values from the calculation:
final energy: -58.68 eV per formula unit
crystal system: cubic
total magnetization: 0.00 μB/cell
space-group type: Pm-3m (221)
Fermi-level density of states: 2.652 states/eV/f.u.


Record 12
DFT (GGA-PBE) results for an optimized crystal structure of Dy2HSe3.

Cell: 4.255 7.845 10.252 Å, 69.53 78.02 74.26°
Fractional coordinates of all 12 atoms:
Se1 0.945 0.862 0.249
Se2 0.055 0.138 0.751
Se3 0.222 0.178 0.379
Se4 0.649 0.693 0.009
Se5 0.351 0.307 0.991
Se6 0.778 0.822 0.621
Dy1 0.143 0.532 0.181
Dy2 0.857 0.468 0.819
Dy3 0.393 0.769 0.445
Dy4 0.607 0.231 0.555
H1 0.440 0.491 0.628
H2 0.560 0.509 0.372

Values from the calculation:
excess energy over the best structure of this formula in the dataset: 94 kJ/mol of formula units
crystal system: monoclinic
total magnetization: 0.00 μB/cell
space-group type: C2/m (12)
Fermi-level density of states: 4.565 states/eV/f.u.